Density functional theory data (GGA-PBE) for a relaxed SrLiGa2Ir crystal. Values from VASP.

Computed properties:
energy of formation from the pure elements = -435 meV/atom
symmetry = I-4m2
M_tot = 0.0 μB per formula unit

```
&SYSTEM
  ibrav = 0, nat = 5, ntyp = 4
/
ATOMIC_SPECIES
Li 6.94 Li.upf
Ir 192.22 Ir.upf
Ga 69.72 Ga.upf
Sr 87.62 Sr.upf
ATOMIC_POSITIONS angstrom
Li 0.244 -2.836 1.877
Ir -2.106 -0.856 2.541
Ga 0.162 -1.020 3.613
Sr 0.000 0.000 0.000
Ga -2.023 -2.671 0.805
CELL_PARAMETERS angstrom
-4.434 -0.309 0.111
0.266 -4.268 -1.217
2.306 0.884 5.524
```